The following is a PBEsol calculation of a relaxed structure of SmMg2, from Alexandria.

Output
- ΔH_f (0 K): -0.2 eV per formula unit
- Calculated volume: 25.8 Å³/atom
- Final energy: -17.53 eV per cell

POSCAR file:
```
SmMg2
1.0
-5.4499 -0.6016 2.5077
-3.0122 -5.1945 -0.5443
-0.7326 -3.5770 4.7979
Mg Sm
4 2
direct
0.1250 0.6250 0.6250
0.6250 0.1250 0.6250
0.6250 0.6250 0.6250
0.6250 0.6250 0.1250
0.2500 0.2500 0.2500
0.0000 0.0000 0.0000
```